Zn2PPt: optimized geometry, PBE-GGA.

Properties
- Space-group type: P4mm (99)
- DOS at the Fermi energy: 0.234 states/eV/atom
- Formation enthalpy at 0 K: -6.9 kJ/mol of atoms

a = 3.4227 Å, b = 3.4227 Å, c = 5.1739 Å
α = 90.00°, β = 90.00°, γ = 90.00°
Closest atoms and distances in Å follow each position.
Atoms (fractional coordinates):
Zn 0.0000 0.0000 0.0000  2 P 2.51-2.66, 4 Zn 2.74, 4 Pt 2.75
Zn 0.5000 0.5000 0.2502  2 Pt 2.58-2.59, 4 Zn 2.74, 4 P 2.78
P 0.0000 0.0000 0.5143  6 Zn 2.51-2.78, 4 Pt 2.71
Pt 0.5000 0.5000 0.7489  6 Zn 2.58-2.75, 4 P 2.71

ZnP2Pt: optimized geometry, PBE-GGA.

Properties
- Space-group type: Cm (8)
- DOS at the Fermi energy: 0.356 states/eV/atom
- Formation enthalpy at 0 K: -9.0 kJ/mol of atoms

a = 5.9469 Å, b = 5.9469 Å, c = 3.4717 Å
α = 105.71°, β = 105.71°, γ = 33.66°
Closest atoms and distances in Å follow each position.
Atoms (fractional coordinates):
Zn 0.0000 0.0000 0.0000  4 P 2.45-2.46, 1 Pt 2.65
P 0.4826 0.4826 0.4856  1 P 2.32, 4 Zn 2.45-2.46
P 0.6947 0.6947 0.6604  1 P 2.32, 2 Pt 2.40
Pt 0.2423 0.2423 0.2467  5 P 2.40-2.62, 1 Zn 2.65

Zn2PPt: optimized geometry, PBE-GGA.

Properties
- Space-group type: Cmmm (65)
- DOS at the Fermi energy: 0.429 states/eV/atom
- Formation enthalpy at 0 K: -13.2 kJ/mol of atoms

a = 4.6846 Å, b = 4.6846 Å, c = 2.8637 Å
α = 90.00°, β = 90.00°, γ = 109.58°
Closest atoms and distances in Å follow each position.
Atoms (fractional coordinates):
Zn 0.0000 0.5000 0.0000  4 Zn 2.70-2.86, 4 Pt 2.75, 4 P 2.75
Zn 0.5000 0.0000 0.0000  4 Zn 2.70-2.86, 4 Pt 2.75, 4 P 2.75
P 0.0000 0.0000 0.5000  2 Pt 2.70, 8 Zn 2.75, 2 P 2.86
Pt 0.5000 0.5000 0.5000  2 P 2.70, 8 Zn 2.75, 2 Pt 2.86

ZnPPt2: optimized geometry, PBE-GGA.

Properties
- Space-group type: Pm (6)
- DOS at the Fermi energy: 0.370 states/eV/atom
- Formation enthalpy at 0 K: -26.8 kJ/mol of atoms

a = 2.8997 Å, b = 4.5417 Å, c = 4.8338 Å
α = 90.00°, β = 107.30°, γ = 90.00°
Closest atoms and distances in Å follow each position.
Atoms (fractional coordinates):
Zn 0.0000 0.0000 0.0000  3 Pt 2.48-2.59
P 0.6423 0.5000 0.3034  5 Pt 2.39-2.60
Pt 0.3808 0.5000 0.7686  3 P 2.47-2.60
Pt 0.7289 0.0000 0.4634  2 P 2.39, 3 Zn 2.48-2.59

ZnP2Pt: optimized geometry, PBE-GGA.

Properties
- Space-group type: I-4m2 (119)
- DOS at the Fermi energy: 0.511 states/eV/atom
- Formation enthalpy at 0 K: 22.2 kJ/mol of atoms

a = 4.7560 Å, b = 4.7560 Å, c = 4.7560 Å
α = 130.89°, β = 130.89°, γ = 71.98°
Closest atoms and distances in Å follow each position.
Atoms (fractional coordinates):
Zn 0.0000 0.0000 0.0000  4 Pt 2.76, 8 P 2.76-2.79
P 0.2500 0.7500 0.5000  4 P 2.76, 4 Zn 2.76, 4 Pt 2.79
P 0.5000 0.5000 0.0000  4 Pt 2.76, 4 P 2.76, 4 Zn 2.79
Pt 0.7500 0.2500 0.5000  8 P 2.76-2.79, 4 Zn 2.76

Zn2PPt2: optimized geometry, PBE-GGA.

Properties
- Space-group type: I4/mmm (139)
- DOS at the Fermi energy: 0.302 states/eV/atom
- Formation enthalpy at 0 K: -10.3 kJ/mol of atoms

a = 7.1066 Å, b = 7.1066 Å, c = 7.1066 Å
α = 152.22°, β = 152.22°, γ = 39.69°
Closest atoms and distances in Å follow each position.
Atoms (fractional coordinates):
Zn 0.2500 0.7500 0.5000  4 Zn 2.41, 4 Pt 2.64
Zn 0.7500 0.2500 0.5000  4 Zn 2.41, 4 Pt 2.64
P 0.0000 0.0000 0.0000  8 Pt 2.75
Pt 0.4007 0.4007 0.0000  4 Zn 2.64, 1 Pt 2.66, 4 P 2.75
Pt 0.5993 0.5993 0.0000  4 Zn 2.64, 1 Pt 2.66, 4 P 2.75

ZnP2Pt: optimized geometry, PBE-GGA.

Properties
- Space-group type: I-42d (122)
- DOS at the Fermi energy: 0.497 states/eV/atom
- Formation enthalpy at 0 K: -12.5 kJ/mol of atoms

a = 6.5139 Å, b = 6.5139 Å, c = 6.5139 Å
α = 129.78°, β = 129.78°, γ = 73.77°
Closest atoms and distances in Å follow each position.
Atoms (fractional coordinates):
Zn 0.0000 0.0000 0.0000  4 P 2.40
Zn 0.7500 0.2500 0.5000  4 P 2.40
P 0.1398 0.6250 0.0148  2 Pt 2.30, 2 Zn 2.40
P 0.3750 0.3898 0.5148  2 Pt 2.30, 2 Zn 2.40
P 0.6102 0.1250 0.9852  2 Pt 2.30, 2 Zn 2.40
P 0.8750 0.8602 0.4852  2 Pt 2.30, 2 Zn 2.40
Pt 0.2500 0.7500 0.5000  4 P 2.30
Pt 0.5000 0.5000 0.0000  4 P 2.30

ZnP2Pt: optimized geometry, PBE-GGA.

Properties
- Space-group type: Imm2 (44)
- DOS at the Fermi energy: 0.465 states/eV/atom
- Formation enthalpy at 0 K: 17.6 kJ/mol of atoms

a = 4.8626 Å, b = 4.8626 Å, c = 4.8626 Å
α = 141.28°, β = 120.49°, γ = 73.29°
Closest atoms and distances in Å follow each position.
Atoms (fractional coordinates):
Zn 0.0000 0.0000 0.0000  2 P 2.57, 2 Pt 2.72
P 0.5270 0.5270 0.0000  2 P 2.33, 2 Pt 2.50
P 0.7431 0.2431 0.5000  2 P 2.33, 2 Zn 2.57
Pt 0.2814 0.7814 0.5000  2 P 2.50, 2 Zn 2.72

ZnP2Pt: optimized geometry, PBE-GGA.

Properties
- Space-group type: Immm (71)
- DOS at the Fermi energy: 0.281 states/eV/atom
- Formation enthalpy at 0 K: 6.8 kJ/mol of atoms

a = 5.8205 Å, b = 5.8205 Å, c = 5.8205 Å
α = 152.45°, β = 134.70°, γ = 53.84°
Closest atoms and distances in Å follow each position.
Atoms (fractional coordinates):
Zn 0.0000 0.0000 0.0000  4 Pt 2.64, 2 Zn 2.77
P 0.2950 0.7950 0.5000  2 Pt 2.54, 6 P 2.77-2.80
P 0.7050 0.2050 0.5000  2 Pt 2.54, 6 P 2.77-2.80
Pt 0.5000 0.5000 0.0000  4 P 2.54, 4 Zn 2.64, 2 Pt 2.77

ZnP2Pt6: optimized geometry, PBE-GGA.

Properties
- Space-group type: C2/c (15)
- DOS at the Fermi energy: 0.301 states/eV/atom
- Formation enthalpy at 0 K: -28.0 kJ/mol of atoms

a = 7.5357 Å, b = 7.5357 Å, c = 5.5783 Å
α = 102.51°, β = 102.51°, γ = 102.18°
Closest atoms and distances in Å follow each position.
Atoms (fractional coordinates):
Zn 0.1799 0.8201 0.7500  10 Pt 2.74-3.02
Zn 0.8201 0.1799 0.2500  10 Pt 2.74-3.02
P 0.2462 0.3987 0.5279  6 Pt 2.26-2.44
P 0.3987 0.2462 0.0279  6 Pt 2.26-2.44
P 0.6013 0.7538 0.9721  6 Pt 2.26-2.44
P 0.7538 0.6013 0.4721  6 Pt 2.26-2.44
Pt 0.0567 0.5220 0.2780  1 P 2.26
Pt 0.1122 0.1553 0.6989  2 P 2.37-2.38
Pt 0.1553 0.1122 0.1989  2 P 2.37-2.38
Pt 0.3156 0.5339 0.9818  3 P 2.41-2.44
Pt 0.4661 0.6844 0.5182  3 P 2.41-2.44
Pt 0.4780 0.9433 0.2220  1 P 2.26
Pt 0.5220 0.0567 0.7780  1 P 2.26
Pt 0.5339 0.3156 0.4818  3 P 2.41-2.44
Pt 0.6844 0.4661 0.0182  3 P 2.41-2.44
Pt 0.8447 0.8878 0.8011  2 P 2.37-2.38
Pt 0.8878 0.8447 0.3011  2 P 2.37-2.38
Pt 0.9433 0.4780 0.7220  1 P 2.26

ZnP4Pt: optimized geometry, PBE-GGA.

Properties
- Space-group type: F-43m (216)
- DOS at the Fermi energy: 0.422 states/eV/atom
- Formation enthalpy at 0 K: 61.9 kJ/mol of atoms

a = 5.1189 Å, b = 5.1189 Å, c = 5.1189 Å
α = 60.00°, β = 60.00°, γ = 60.00°
Closest atoms and distances in Å follow each position.
Atoms (fractional coordinates):
Zn 0.0000 0.0000 0.0000  12 P 2.98, 4 Pt 3.13
P 0.0980 0.6340 0.6340  3 P 2.38
P 0.6340 0.0980 0.6340  3 P 2.38
P 0.6340 0.6340 0.0980  3 P 2.38
P 0.6340 0.6340 0.6340  3 P 2.38
Pt 0.2500 0.2500 0.2500  12 P 3.02, 4 Zn 3.13

Zn2PPt2: optimized geometry, PBE-GGA.

Properties
- Space-group type: P4/mbm (127)
- DOS at the Fermi energy: 0.188 states/eV/atom
- Formation enthalpy at 0 K: -9.4 kJ/mol of atoms

a = 7.4652 Å, b = 7.4652 Å, c = 2.8129 Å
α = 90.00°, β = 90.00°, γ = 90.00°
Closest atoms and distances in Å follow each position.
Atoms (fractional coordinates):
Zn 0.1315 0.3685 0.0000  6 Pt 2.57-2.63, 3 Zn 2.78-2.81
Zn 0.3685 0.8685 0.0000  6 Pt 2.57-2.63, 3 Zn 2.78-2.81
Zn 0.6315 0.1315 0.0000  6 Pt 2.57-2.63, 3 Zn 2.78-2.81
Zn 0.8685 0.6315 0.0000  6 Pt 2.57-2.63, 3 Zn 2.78-2.81
P 0.0000 0.0000 0.0000  2 P 2.81, 4 Zn 2.92, 8 Pt 3.12
P 0.5000 0.5000 0.0000  2 P 2.81, 4 Zn 2.92, 8 Pt 3.12
Pt 0.1649 0.6649 0.5000  6 Zn 2.57-2.63, 2 Pt 2.81
Pt 0.3351 0.1649 0.5000  6 Zn 2.57-2.63, 2 Pt 2.81
Pt 0.6649 0.8351 0.5000  6 Zn 2.57-2.63, 2 Pt 2.81
Pt 0.8351 0.3351 0.5000  6 Zn 2.57-2.63, 2 Pt 2.81